An optimized crystal structure of ZrAl2P, computed with PBEsol.

CIF file:
```
data_ZrAl2P
_chemical_formula_sum 'Zr1 Al2 P1'
_cell_length_a 2.8836
_cell_length_b 4.5279
_cell_length_c 5.1301
_cell_angle_alpha 90.00
_cell_angle_beta 90.00
_cell_angle_gamma 90.00
_space_group_name_H-M_alt 'P 1'
_space_group_IT_number 1
loop_
_space_group_symop_operation_xyz
'x,y,z'
loop_
_atom_site_label
_atom_site_type_symbol
_atom_site_fract_x
_atom_site_fract_y
_atom_site_fract_z
P1 P 0.0000 0.0000 0.4869
Al1 Al 0.0000 0.0000 0.0058
Al2 Al 0.0000 0.5000 0.7532
Zr1 Zr 0.5000 0.5000 0.2541
```

Calculated values
DOS at the Fermi energy = 1.577 states/eV per cell
E_form = -0.383 eV/atom
E_tot = -6.15 eV/atom